No. 1
A plane-wave DFT calculation with SCAN was carried out for a PBEsol-optimized structure of Li4Nb2Co3Sn3O16.

Cell lengths 10.497, 6.050, 9.615 Å; angles 90.00, 92.03, 90.00 degrees
Space group Cm (No. 8)
Inequivalent atoms, fractional coordinates:
Li (0.000, 0.000, 0.000) (multiplicity 2)
Li (0.000, 0.000, 0.481) (multiplicity 2)
Li (0.203, 0.500, 0.086) (multiplicity 2)
Li (0.349, 0.000, 0.583) (multiplicity 2)
Nb (0.192, 0.500, 0.486) (multiplicity 2)
Nb (0.366, 0.000, 0.016) (multiplicity 2)
Co (0.343, 0.500, 0.773) (multiplicity 2)
Co (0.438, 0.216, 0.256) (multiplicity 4)
Sn (0.097, 0.252, 0.774) (multiplicity 4)
Sn (0.182, 0.000, 0.274) (multiplicity 2)
O (0.007, 0.000, 0.186) (multiplicity 2)
O (0.026, 0.500, 0.126) (multiplicity 2)
O (0.027, 0.500, 0.644) (multiplicity 2)
O (0.101, 0.248, 0.402) (multiplicity 4)
O (0.175, 0.000, 0.894) (multiplicity 2)
O (0.193, 0.500, 0.882) (multiplicity 2)
O (0.257, 0.286, 0.651) (multiplicity 4)
O (0.273, 0.218, 0.134) (multiplicity 4)
O (0.339, 0.500, 0.391) (multiplicity 2)
O (0.353, 0.000, 0.377) (multiplicity 2)
O (0.427, 0.257, 0.888) (multiplicity 4)
O (0.499, 0.500, 0.672) (multiplicity 2)

Computed properties:
- Uncorrected formation energy: -1978 meV per atom

---

No. 2
A plane-wave DFT calculation with SCAN was carried out for a PBEsol-optimized structure of SrLiNdCoO4.

Cell lengths 3.297, 3.776, 7.918 Å; angles 90.00, 90.00, 90.00 degrees
Space group Pmm2 (No. 25)
Inequivalent atoms, fractional coordinates:
Sr (0.000, 0.000, 0.000) (multiplicity 1)
Li (0.500, 0.500, 0.259) (multiplicity 1)
Nd (0.500, 0.500, 0.647) (multiplicity 1)
Co (0.000, 0.000, 0.405) (multiplicity 1)
O (0.000, 0.000, 0.666) (multiplicity 1)
O (0.000, 0.500, 0.418) (multiplicity 1)
O (0.500, 0.000, 0.243) (multiplicity 1)
O (0.500, 0.500, 0.931) (multiplicity 1)

Computed properties:
- Uncorrected formation energy: -2487 meV per atom

---

No. 3
A plane-wave DFT calculation with SCAN was carried out for a PBEsol-optimized structure of LiCoNi2.

Cell lengths 8.124, 2.400, 4.329 Å; angles 90.00, 97.86, 90.00 degrees
Space group C2/m (No. 12)
Inequivalent atoms, fractional coordinates:
Li (0.000, 0.000, 0.000) (multiplicity 2)
Co (0.000, 0.500, 0.500) (multiplicity 2)
Ni (0.244, 0.000, 0.744) (multiplicity 4)

Computed properties:
- Energy of formation from the pure elements: 68.0 meV/atom

---

No. 4
A plane-wave DFT calculation with SCAN was carried out for a PBEsol-optimized structure of LiCoNi3.

Cell lengths 3.777, 3.777, 3.777 Å; angles 90.00, 90.00, 90.00 degrees
Space group Pm-3m (No. 221)
Inequivalent atoms, fractional coordinates:
Li (0.000, 0.000, 0.000) (multiplicity 1)
Co (0.500, 0.500, 0.500) (multiplicity 1)
Ni (0.000, 0.000, 0.500) (multiplicity 3)

Computed properties:
- Energy of formation from the pure elements: 849.4 meV/atom

---

No. 5
A plane-wave DFT calculation with SCAN was carried out for a PBEsol-optimized structure of LiCoNi2.

Cell lengths 2.4496, 2.4496, 24.6295 Å; angles 90.00, 90.00, 120.00 degrees
Space group R-3m (No. 166, hexagonal axes)
Inequivalent atoms, fractional coordinates:
Li (0.0000, 0.0000, 0.0000) (multiplicity 3)
Co (0.0000, 0.0000, 0.5000) (multiplicity 3)
Ni (0.0000, 0.0000, 0.2473) (multiplicity 6)

Computed properties:
- Energy of formation from the pure elements: 58.2 meV/atom

---

No. 6
A plane-wave DFT calculation with SCAN was carried out for a PBEsol-optimized structure of LiCo2Ni.

Cell lengths 4.688, 7.811, 2.369 Å; angles 90.00, 105.47, 90.00 degrees
Space group C2/m (No. 12)
Inequivalent atoms, fractional coordinates:
Li (0.000, 0.000, 0.000) (multiplicity 2)
Co (0.250, 0.250, 0.500) (multiplicity 4)
Ni (0.000, 0.500, 0.000) (multiplicity 2)

Computed properties:
- Energy of formation from the pure elements: 64.4 meV/atom

---

No. 7
A plane-wave DFT calculation with SCAN was carried out for a PBEsol-optimized structure of LiCo2Ni.

Cell lengths 2.369, 3.950, 4.565 Å; angles 90.00, 101.62, 90.00 degrees
Space group P2/m (No. 10)
Inequivalent atoms, fractional coordinates:
Li (0.000, 0.000, 0.000) (multiplicity 1)
Co (0.236, 0.500, 0.751) (multiplicity 2)
Ni (0.500, 0.000, 0.500) (multiplicity 1)

Computed properties:
- Energy of formation from the pure elements: 84.7 meV/atom

---

No. 8
A plane-wave DFT calculation with SCAN was carried out for a PBEsol-optimized structure of Li3CoNi.

Cell lengths 4.303, 4.303, 4.303 Å; angles 90.00, 90.00, 90.00 degrees
Space group Pm-3m (No. 221)
Inequivalent atoms, fractional coordinates:
Li (0.000, 0.000, 0.500) (multiplicity 3)
Co (0.000, 0.000, 0.000) (multiplicity 1)
Ni (0.500, 0.500, 0.500) (multiplicity 1)

Computed properties:
- Energy relative to the lowest polymorph listed for this composition: 304 meV per atom
- Energy of formation from the pure elements: 1024.6 meV/atom

---

No. 9
A plane-wave DFT calculation with SCAN was carried out for a PBEsol-optimized structure of LiCoNi2.

Cell lengths 2.455, 2.455, 7.190 Å; angles 90.00, 90.00, 90.00 degrees
Space group P4/mmm (No. 123)
Inequivalent atoms, fractional coordinates:
Li (0.000, 0.000, 0.000) (multiplicity 1)
Co (0.000, 0.000, 0.500) (multiplicity 1)
Ni (0.500, 0.500, 0.268) (multiplicity 2)

Computed properties:
- Energy of formation from the pure elements: 63.7 meV/atom

---

No. 10
A plane-wave DFT calculation with SCAN was carried out for a PBEsol-optimized structure of Li3CoNi.

Cell lengths 4.261, 4.261, 4.261 Å; angles 90.00, 90.00, 90.00 degrees
Space group Pm-3m (No. 221)
Inequivalent atoms, fractional coordinates:
Li (0.000, 0.000, 0.500) (multiplicity 3)
Co (0.500, 0.500, 0.500) (multiplicity 1)
Ni (0.000, 0.000, 0.000) (multiplicity 1)

Computed properties:
- Energy relative to the lowest polymorph listed for this composition: 0 meV per atom
- Energy of formation from the pure elements: 720.3 meV/atom

---

No. 11
A plane-wave DFT calculation with SCAN was carried out for a PBEsol-optimized structure of LiCoNi2.

Cell lengths 4.971, 6.850, 2.426 Å; angles 90.00, 90.00, 90.00 degrees
Space group Cmmm (No. 65)
Inequivalent atoms, fractional coordinates:
Li (0.000, 0.000, 0.000) (multiplicity 2)
Co (0.000, 0.500, 0.000) (multiplicity 2)
Ni (0.250, 0.250, 0.500) (multiplicity 4)

Computed properties:
- Energy of formation from the pure elements: 33.3 meV/atom

---

No. 12
A plane-wave DFT calculation with SCAN was carried out for a PBEsol-optimized structure of LiCoNi2.

Cell lengths 2.412, 2.412, 7.471 Å; angles 90.00, 90.00, 90.00 degrees
Space group P4mm (No. 99)
Inequivalent atoms, fractional coordinates:
Li (0.000, 0.000, 0.000) (multiplicity 1)
Co (0.500, 0.500, 0.726) (multiplicity 1)
Ni (0.000, 0.000, 0.495) (multiplicity 1)
Ni (0.500, 0.500, 0.260) (multiplicity 1)

Computed properties:
- Energy of formation from the pure elements: 116.2 meV/atom

---

No. 13
A plane-wave DFT calculation with SCAN was carried out for a PBEsol-optimized structure of LiCo2Ni.

Cell lengths 2.522, 4.019, 8.307 Å; angles 90.00, 90.00, 90.00 degrees
Space group Immm (No. 71)
Inequivalent atoms, fractional coordinates:
Li (0.000, 0.000, 0.000) (multiplicity 2)
Co (0.000, 0.500, 0.242) (multiplicity 4)
Ni (0.000, 0.000, 0.500) (multiplicity 2)

Computed properties:
- Energy of formation from the pure elements: 105.9 meV/atom

---

No. 14
A plane-wave DFT calculation with SCAN was carried out for a PBEsol-optimized structure of LiCoNi2.

Cell lengths 2.422, 3.506, 4.927 Å; angles 90.00, 90.00, 90.00 degrees
Space group Pmmm (No. 47)
Inequivalent atoms, fractional coordinates:
Li (0.000, 0.000, 0.000) (multiplicity 1)
Co (0.000, 0.000, 0.500) (multiplicity 1)
Ni (0.500, 0.500, 0.257) (multiplicity 2)

Computed properties:
- Energy of formation from the pure elements: 74.4 meV/atom

---

No. 15
A plane-wave DFT calculation with SCAN was carried out for a PBEsol-optimized structure of LiCo2Ni.

Cell lengths 8.123, 2.398, 4.340 Å; angles 90.00, 98.11, 90.00 degrees
Space group Cm (No. 8)
Inequivalent atoms, fractional coordinates:
Li (0.000, 0.000, 0.000) (multiplicity 2)
Co (0.005, 0.500, 0.498) (multiplicity 2)
Co (0.259, 0.500, 0.281) (multiplicity 2)
Ni (0.244, 0.000, 0.770) (multiplicity 2)

Computed properties:
- Energy of formation from the pure elements: 105.5 meV/atom

---

No. 16
A plane-wave DFT calculation with SCAN was carried out for a PBEsol-optimized structure of Li3Co2NiO6.

Cell lengths 2.809, 5.634, 6.377 Å; angles 77.65, 77.33, 89.93 degrees
Space group P-1 (No. 2)
Inequivalent atoms, fractional coordinates:
Li (0.000, 0.000, 0.000) (multiplicity 1)
Li (0.332, 0.661, 0.336) (multiplicity 2)
Co (0.331, 0.166, 0.337) (multiplicity 2)
Ni (0.000, 0.500, 0.000) (multiplicity 1)
O (0.168, 0.607, 0.666) (multiplicity 2)
O (0.175, 0.065, 0.651) (multiplicity 2)
O (0.486, 0.262, 0.025) (multiplicity 2)

Computed properties:
- Uncorrected formation energy: -1795 meV per atom

---

No. 17
A plane-wave DFT calculation with SCAN was carried out for a PBEsol-optimized structure of Li2Co3NiO8.

Cell lengths 9.599, 5.606, 5.685 Å; angles 90.00, 123.81, 90.00 degrees
Space group C2/m (No. 12)
Inequivalent atoms, fractional coordinates:
Li (0.250, 0.250, 0.000) (multiplicity 4)
Co (0.000, 0.000, 0.500) (multiplicity 2)
Co (0.250, 0.250, 0.500) (multiplicity 4)
Ni (0.000, 0.500, 0.500) (multiplicity 2)
O (0.016, 0.249, 0.299) (multiplicity 8)
O (0.234, 0.000, 0.706) (multiplicity 4)
O (0.234, 0.500, 0.707) (multiplicity 4)

Computed properties:
- Energy relative to the lowest polymorph listed for this composition: 0 meV per atom
- Uncorrected formation energy: -1551 meV per atom

---

No. 18
A plane-wave DFT calculation with SCAN was carried out for a PBEsol-optimized structure of LiCo2NiO6.

Cell lengths 12.150, 2.787, 5.797 Å; angles 90.00, 104.89, 90.00 degrees
Space group C2/m (No. 12)
Inequivalent atoms, fractional coordinates:
Li (0.000, 0.000, 0.000) (multiplicity 2)
Co (0.171, 0.500, 0.824) (multiplicity 4)
Ni (0.000, 0.000, 0.500) (multiplicity 2)
O (0.012, 0.500, 0.725) (multiplicity 4)
O (0.160, 0.000, 0.611) (multiplicity 4)
O (0.172, 0.000, 0.043) (multiplicity 4)

Computed properties:
- Uncorrected formation energy: -1372 meV per atom

---

No. 19
A plane-wave DFT calculation with SCAN was carried out for a PBEsol-optimized structure of Li2Co3NiO8.

Cell lengths 9.633, 5.600, 5.702 Å; angles 90.00, 123.98, 90.00 degrees
Space group C2/m (No. 12)
Inequivalent atoms, fractional coordinates:
Li (0.000, 0.000, 0.000) (multiplicity 2)
Li (0.000, 0.500, 0.000) (multiplicity 2)
Co (0.000, 0.000, 0.500) (multiplicity 2)
Co (0.250, 0.250, 0.500) (multiplicity 4)
Ni (0.000, 0.500, 0.500) (multiplicity 2)
O (0.016, 0.250, 0.293) (multiplicity 8)
O (0.234, 0.000, 0.699) (multiplicity 4)
O (0.235, 0.500, 0.701) (multiplicity 4)

Computed properties:
- Energy relative to the lowest polymorph listed for this composition: 19 meV per atom
- Uncorrected formation energy: -1532 meV per atom

---

No. 20
A plane-wave DFT calculation with SCAN was carried out for a PBEsol-optimized structure of Li4Co3NiO8.

Cell lengths 5.6486, 5.6486, 13.8247 Å; angles 90.00, 90.00, 120.00 degrees
Space group R-3m (No. 166, hexagonal axes)
Inequivalent atoms, fractional coordinates:
Li (0.0000, 0.0000, 0.0000) (multiplicity 3)
Li (0.0000, 0.5000, 0.0000) (multiplicity 9)
Co (0.0000, 0.5000, 0.5000) (multiplicity 9)
Ni (0.0000, 0.0000, 0.5000) (multiplicity 3)
O (0.0000, 0.0000, 0.2385) (multiplicity 6)
O (0.0075, 0.5037, 0.7601) (multiplicity 18)

Computed properties:
- Uncorrected formation energy: -1812 meV per atom